Record 1
The following is a DFT calculation (PBE) of crystalline CaAcDy at its relaxed geometry.

Results
- Energy of formation from the pure elements: 0.06 eV/atom
- Polymorph energy (0 for the lowest one): 8 meV/atom
- E: -3.510 eV/atom
- Space-group type: Pmmn (59)

abc: 3.937 4.890 12.206
angles: 90.00 90.00 90.00
Fractional positions:
Ca1 0.250 0.250 0.085
Ca2 0.750 0.750 0.915
Ac1 0.250 0.250 0.731
Ac2 0.750 0.750 0.269
Dy1 0.250 0.250 0.434
Dy2 0.750 0.750 0.566



Record 2
The following is a DFT calculation (PBE) of crystalline SmDy2ScP4 at its relaxed geometry.

Results
- Energy of formation from the pure elements: -1.54 eV/atom
- E: -6.777 eV/atom
- Space-group type: P2/m (10)

abc: 6.880 3.981 6.886
angles: 90.00 109.47 90.00
Fractional positions:
Sm1 0.000 0.000 0.000
Dy1 0.000 0.500 0.500
Dy2 0.500 0.000 0.500
Sc1 0.500 0.500 0.000
P1 0.259 0.500 0.249
P2 0.262 0.000 0.758
P3 0.738 0.000 0.242
P4 0.741 0.500 0.751



Record 3
The following is a DFT calculation (PBE) of crystalline TbPaNi2 at its relaxed geometry.

Results
- Energy of formation from the pure elements: -0.21 eV/atom
- Polymorph energy (0 for the lowest one): 142 meV/atom
- E: -6.628 eV/atom
- Space-group type: Fm-3m (225)

abc: 4.771 4.771 4.771
angles: 60.00 60.00 60.00
Fractional positions:
Tb1 0.000 0.000 0.000
Pa1 0.500 0.500 0.500
Ni1 0.250 0.250 0.250
Ni2 0.750 0.750 0.750